No. 1
SrSn6Hg2 (PBE, optimized geometry); E above lowest polymorph = 0 meV/atom; uncorrected energy = -3.008 eV per atom; DFT formation energy = -0.085 eV/atom
1.0
-6.232 -1.176 -0.640
-1.955 -5.459 -2.639
-0.038 -3.551 7.372
Sn Hg Sr
6 2 1
Cartesian
-1.407 -2.381 2.045
-6.818 -7.805 2.048
-5.860 -5.131 3.341
-2.365 -5.055 0.752
-4.454 -2.948 1.708
-3.771 -7.238 2.385
-5.463 -4.669 -1.674
-2.762 -5.517 5.767
0.000 0.000 0.000



No. 2
Sr2Sn3Hg2 (PBE, optimized geometry); E above lowest polymorph = 0 meV/atom; uncorrected energy = -2.728 eV per atom; DFT formation energy = -0.446 eV/atom
1.0
4.686 0.000 0.000
-2.343 5.892 -1.648
0.000 -0.695 7.722
Sn Hg Sr
3 2 2
Cartesian
0.000 3.456 4.643
0.000 0.000 0.000
2.343 1.741 1.431
2.343 4.348 3.034
0.000 0.849 3.040
0.000 4.134 0.547
2.343 1.063 5.527



No. 3
SrSn2Hg2 (PBE, optimized geometry); uncorrected energy = -2.238 eV per atom; DFT formation energy = -0.180 eV/atom
1.0
-0.355 -0.138 8.596
-8.591 -0.320 -0.360
0.148 -3.904 -0.057
Sn Hg Sr
4 4 2
Cartesian
-5.694 -0.321 7.281
-3.252 -0.137 0.954
-7.635 -0.331 2.894
-1.311 -0.127 5.341
-1.492 -2.052 2.760
-5.730 -2.189 1.180
-3.069 -2.173 6.999
-7.306 -2.310 5.419
0.000 0.000 0.000
-4.473 -0.229 4.118



No. 4
SrSnHg14 (PBE, optimized geometry); uncorrected energy = -0.657 eV per atom; DFT formation energy = -0.038 eV/atom
1.0
-2.856 11.537 -1.397
-9.825 4.007 1.918
2.335 7.659 7.221
Hg Sn Sr
28 2 2
Cartesian
-6.087 11.516 5.036
-3.097 11.655 0.062
-1.568 5.910 0.752
-7.249 11.549 7.679
-2.530 16.706 6.312
-4.259 11.687 2.705
-0.243 6.734 4.847
-0.531 3.164 1.166
-8.673 10.702 3.593
-7.153 14.330 4.405
-0.618 8.983 7.248
-9.728 14.220 0.494
-4.644 14.736 2.626
-8.778 17.293 6.989
-6.193 9.084 2.111
-3.209 10.305 6.092
-4.153 14.119 5.630
-7.577 17.260 4.258
-1.673 12.502 4.148
-10.103 16.470 2.894
-9.815 20.039 6.575
-3.193 8.873 3.336
-7.816 6.497 1.429
-1.936 8.838 0.479
-8.410 14.365 7.262
-5.702 8.467 5.115
-2.769 5.943 3.483
-7.137 12.898 1.649
1.167 3.830 3.610
-0.261 9.598 2.912
-4.783 5.141 0.977
-5.563 18.062 6.764



No. 5
Sr2Sn5Hg4 (PBE, optimized geometry); uncorrected energy = -2.473 eV per atom; DFT formation energy = -0.238 eV/atom
1.0
-0.511 5.286 -3.135
-4.333 -0.719 -6.572
-6.805 3.669 1.229
Hg Sn Sr
4 5 2
Cartesian
-3.307 2.767 -0.862
-2.510 1.347 -3.385
-9.138 6.889 -5.094
-8.342 5.469 -7.617
-5.569 1.475 -2.672
-5.135 4.028 -7.597
-6.774 6.905 -2.481
-4.875 1.332 -5.998
-6.513 4.208 -0.881
-3.854 4.558 -3.818
-7.795 3.678 -4.661



No. 6
SrSnHg2 (PBE, optimized geometry); uncorrected energy = -1.821 eV per atom; DFT formation energy = -0.249 eV/atom
1.0
-1.223 0.270 -4.764
-3.514 -3.379 0.710
-9.355 6.179 0.205
Sr Hg Sn
2 4 2
Cartesian
-7.618 0.623 -0.556
-2.368 -1.554 -2.027
-4.622 -0.548 0.156
-8.603 3.651 -1.405
-11.350 1.732 -3.356
-3.608 1.306 -3.095
0.000 0.000 0.000
-6.473 2.447 -3.293



No. 7
Sr3Sn2Hg3 (PBE, optimized geometry); E above lowest polymorph = 64 meV/atom; uncorrected energy = -2.228 eV per atom; DFT formation energy = -0.483 eV/atom
1.0
4.319 0.000 0.000
0.000 5.836 0.042
-2.160 -1.674 10.048
Sn Hg Sr
2 3 3
Cartesian
0.000 0.155 4.809
2.160 4.007 5.281
0.000 4.217 7.592
2.160 2.918 0.021
2.160 -0.056 2.498
0.000 0.000 0.000
0.000 2.897 2.880
2.160 1.264 7.210



No. 8
Sr2SnHg2 (PBE, optimized geometry); E above lowest polymorph = 145 meV/atom; uncorrected energy = -1.987 eV per atom; DFT formation energy = -0.393 eV/atom
1.0
4.223 0.000 0.000
0.000 4.223 0.000
2.112 2.112 9.534
Sr Sn Hg
2 1 2
Cartesian
4.223 4.223 7.577
2.112 2.112 1.957
0.000 0.000 0.000
4.223 2.112 4.767
2.112 4.223 4.767



Please write out number 8 again, unchanged.
Sr2SnHg2 (PBE, optimized geometry); E above lowest polymorph = 145 meV/atom; uncorrected energy = -1.987 eV per atom; DFT formation energy = -0.393 eV/atom
1.0
4.223 0.000 0.000
0.000 4.223 0.000
2.112 2.112 9.534
Sr Sn Hg
2 1 2
Cartesian
4.223 4.223 7.577
2.112 2.112 1.957
0.000 0.000 0.000
4.223 2.112 4.767
2.112 4.223 4.767